Compound: La3PmHo12
Source: Alexandria
Functional: GGA-PBE
Structure: optimized geometry

Output
The value obtained for the calculated volume is 32.37 Å³/atom. The value obtained for the calculated density is 8.1 Mg/m³. The total energy comes out at -74.0 eV for the cell shown. Its spin magnetization is 0.0 μB/cell. Its crystal system is tetragonal.

a = 5.059 Å, b = 5.059 Å, c = 20.241 Å
α = 90.00°, β = 90.00°, γ = 90.00°
Positions (direct):
La 0.000 0.000 0.000
La 0.000 0.000 0.250
La 0.000 0.000 0.750
Pm 0.000 0.000 0.500
Ho 0.000 0.500 0.126
Ho 0.000 0.500 0.377
Ho 0.000 0.500 0.623
Ho 0.000 0.500 0.874
Ho 0.500 0.000 0.126
Ho 0.500 0.000 0.377
Ho 0.500 0.000 0.623
Ho 0.500 0.000 0.874
Ho 0.500 0.500 0.000
Ho 0.500 0.500 0.251
Ho 0.500 0.500 0.500
Ho 0.500 0.500 0.749